Density functional theory data (PBE) for a relaxed structure of TbCeGaSn.

The space group is P4/nmm (No. 129, origin choice 2) and the conventional cell measures 4.241, 4.241 and 11.319 Å, with angles of 90.00, 90.00 and 90.00 degrees. The distinct sites, in fractional coordinates, are Tb at (0.250, 0.250, 0.222), Ce at (0.250, 0.750, 0.500), Ga at (0.250, 0.250, 0.703) and Sn at (0.250, 0.250, 0.947).

The value obtained for the spin magnetization is 0.00 μB per atom. The value obtained for the energy is -4.8120 eV per atom. The calculation puts the energy of formation at -0.41 eV/atom. The calculation puts the distance to the lowest polymorph of the same formula at 0.106 eV per atom. The calculation puts the density of states at the Fermi level at 1.466 states/eV/atom. As for the crystal system: tetragonal.